No. 1
VASP calculation (GGA-PBE) on a relaxed Zr2As2Ru crystal.

It has space group P4/mbm (No. 127), with a = 6.5934 Å, b = 6.5934 Å, c = 4.0845 Å, α = 90.00°, β = 90.00° and γ = 90.00°. Symmetry generates all atoms from Zr at (0.1629, 0.3371, 0.0000), As at (0.1453, 0.6453, 0.5000) and Ru at (0.0000, 0.0000, 0.5000).

For the calculated total energy, the calculation gives -7.846 eV per atom. Its calculated formation energy is -0.71 eV per atom.


No. 2
VASP calculation (GGA-PBE) on a relaxed Pm8Si3NiBr4 crystal.

It has space group R-3m (No. 166, hexagonal axes), with a = 8.4323 Å, b = 8.4323 Å, c = 21.7961 Å, α = 90.00°, β = 90.00° and γ = 120.00°. Symmetry generates all atoms from Pm at (0.0000, 0.0000, 0.2379), Pm at (0.0102, 0.5051, 0.2358), Si at (0.0000, 0.5000, 0.5000), Ni at (0.0000, 0.0000, 0.5000), Br at (0.0000, 0.0000, 0.0000) and Br at (0.0000, 0.5000, 0.0000).

For the formation energy from raw total energies, the calculation gives -94.6 kJ per mole of atoms. For the calculated total energy, the calculation gives -5.152 eV per atom.


No. 3
VASP calculation (GGA-PBE) on a relaxed CeBeC crystal.

It has space group Pnma (No. 62), with a = 6.0857 Å, b = 3.9470 Å, c = 7.0990 Å, α = 90.00°, β = 90.00° and γ = 90.00°. Symmetry generates all atoms from Ce at (0.1483, 0.2500, 0.1471), Be at (0.0099, 0.7500, 0.3920) and C at (0.1840, 0.2500, 0.7986).

For the calculated total energy, the calculation gives -6.417 eV per atom. Its calculated formation energy is -0.12 eV per atom.


No. 4
VASP calculation (GGA-PBE) on a relaxed HfZrPa2N4 crystal.

It has space group P2/m (No. 10), with a = 5.7228 Å, b = 3.3145 Å, c = 5.9805 Å, α = 90.00°, β = 108.56° and γ = 90.00°. Symmetry generates all atoms from Hf at (0.0000, 0.0000, 0.0000), Zr at (0.5000, 0.5000, 0.0000), Pa at (0.0000, 0.5000, 0.5000), Pa at (0.5000, 0.0000, 0.5000), N at (0.2355, 0.5000, 0.2223) and N at (0.2524, 0.0000, 0.7745).

For the formation energy from raw total energies, the calculation gives -162.4 kJ per mole of atoms. For the calculated total energy, the calculation gives -10.533 eV per atom.


No. 5
VASP calculation (GGA-PBE) on a relaxed VCrCo crystal.

It has space group P4/nmm (No. 129, origin choice 2), with a = 2.8857 Å, b = 2.8857 Å, c = 8.5323 Å, α = 90.00°, β = 90.00° and γ = 90.00°. Symmetry generates all atoms from V at (0.2500, 0.2500, 0.2412), Cr at (0.2500, 0.2500, 0.5794) and Co at (0.2500, 0.2500, 0.9089).

For the calculated total energy, the calculation gives -8.697 eV per atom. Its calculated formation energy is -0.08 eV per atom.


No. 6
VASP calculation (GGA-PBE) on a relaxed KMgSiW crystal.

It has space group P4mm (No. 99), with a = 3.3344 Å, b = 3.3344 Å, c = 8.5284 Å, α = 90.00°, β = 90.00° and γ = 90.00°. Symmetry generates all atoms from K at (0.0000, 0.0000, 0.0000), Mg at (0.5000, 0.5000, 0.3761), Si at (0.5000, 0.5000, 0.6929) and W at (0.0000, 0.0000, 0.5915).

For the formation energy from raw total energies, the calculation gives 34.1 kJ per mole of atoms. For the calculated total energy, the calculation gives -4.914 eV per atom.


No. 7
VASP calculation (GGA-PBE) on a relaxed Ti5MnSn3 crystal.

It has space group P6_3/mcm (No. 193), with a = 8.2384 Å, b = 8.2384 Å, c = 5.4864 Å, α = 90.00°, β = 90.00° and γ = 120.00°. Symmetry generates all atoms from Ti at (0.0000, 0.2434, 0.2500), Ti at (0.3333, 0.6667, 0.0000), Mn at (0.0000, 0.0000, 0.0000) and Sn at (0.0000, 0.3962, 0.7500).

For the calculated total energy, the calculation gives -7.073 eV per atom. Its calculated formation energy is -0.33 eV per atom.


No. 8
VASP calculation (GGA-PBE) on a relaxed VB3Br crystal.

It has space group Pm-3m (No. 221), with a = 4.2495 Å, b = 4.2495 Å, c = 4.2495 Å, α = 90.00°, β = 90.00° and γ = 90.00°. Symmetry generates all atoms from V at (0.0000, 0.0000, 0.0000), B at (0.0000, 0.0000, 0.5000) and Br at (0.5000, 0.5000, 0.5000).

For the formation energy from raw total energies, the calculation gives 174.2 kJ per mole of atoms. For the calculated total energy, the calculation gives -4.360 eV per atom.


No. 9
VASP calculation (GGA-PBE) on a relaxed MnRhPb2 crystal.

It has space group P4mm (No. 99), with a = 3.2971 Å, b = 3.2971 Å, c = 8.1513 Å, α = 90.00°, β = 90.00° and γ = 90.00°. Symmetry generates all atoms from Mn at (0.0000, 0.0000, 0.0000), Rh at (0.5000, 0.5000, 0.8462), Pb at (0.0000, 0.0000, 0.6160) and Pb at (0.5000, 0.5000, 0.2328).

For the calculated total energy, the calculation gives -5.915 eV per atom. Its calculated formation energy is 0.07 eV per atom.


No. 10
VASP calculation (GGA-PBE) on a relaxed Pm2YAg2 crystal.

It has space group P2_1/m (No. 11), with a = 3.7029 Å, b = 5.3251 Å, c = 13.8489 Å, α = 90.00°, β = 97.67° and γ = 90.00°. Symmetry generates all atoms from Pm at (0.0465, 0.2500, 0.0943), Pm at (0.2345, 0.2500, 0.4679), Y at (0.1452, 0.7500, 0.2900), Ag at (0.3585, 0.7500, 0.7173) and Ag at (0.4507, 0.2500, 0.9002).

For the calculated total energy, the calculation gives -4.543 eV per atom. Its calculated formation energy is -0.21 eV per atom.


No. 11
VASP calculation (GGA-PBE) on a relaxed GaMoSe2 crystal.

It has space group I-42d (No. 122), with a = 6.4598 Å, b = 6.4598 Å, c = 10.5340 Å, α = 90.00°, β = 90.00° and γ = 90.00°. Symmetry generates all atoms from Ga at (0.0000, 0.0000, 0.0000), Mo at (0.0000, 0.0000, 0.5000) and Se at (0.1988, 0.2500, 0.6250).

For the formation energy from raw total energies, the calculation gives 7.7 kJ per mole of atoms. For the calculated total energy, the calculation gives -5.127 eV per atom.


No. 12
VASP calculation (GGA-PBE) on a relaxed CuBr4 crystal.

It has space group I4/m (No. 87), with a = 10.9844 Å, b = 10.9844 Å, c = 2.6518 Å, α = 90.00°, β = 90.00° and γ = 90.00°. Symmetry generates all atoms from Cu at (0.0000, 0.0000, 0.0000) and Br at (0.0517, 0.2286, 0.5000).

For the formation energy from raw total energies, the calculation gives 6.9 kJ per mole of atoms. For the calculated total energy, the calculation gives -2.086 eV per atom.


No. 13
VASP calculation (GGA-PBE) on a relaxed Rb2LiSe2 crystal.

It has space group P4/mbm (No. 127), with a = 7.8454 Å, b = 7.8454 Å, c = 5.1997 Å, α = 90.00°, β = 90.00° and γ = 90.00°. Symmetry generates all atoms from Rb at (0.1537, 0.3463, 0.0000), Li at (0.0000, 0.0000, 0.5000) and Se at (0.1529, 0.6529, 0.5000).

For the formation energy from raw total energies, the calculation gives -74.9 kJ per mole of atoms. For the calculated total energy, the calculation gives -2.940 eV per atom.


No. 14
VASP calculation (GGA-PBE) on a relaxed Ti2HPd crystal.

It has space group P4/mmm (No. 123), with a = 2.8985 Å, b = 2.8985 Å, c = 11.8563 Å, α = 90.00°, β = 90.00° and γ = 90.00°. Symmetry generates all atoms from Ti at (0.0000, 0.0000, 0.1586), Ti at (0.5000, 0.5000, 0.3321), H at (0.0000, 0.0000, 0.3192), Pd at (0.0000, 0.0000, 0.5000) and Pd at (0.5000, 0.5000, 0.0000).

For the calculated total energy, the calculation gives -6.546 eV per atom.


No. 15
VASP calculation (GGA-PBE) on a relaxed BeTlSnBr5 crystal.

It has space group C2/c (No. 15), with a = 9.5338 Å, b = 12.4173 Å, c = 10.5030 Å, α = 90.00°, β = 115.59° and γ = 90.00°. Symmetry generates all atoms from Be at (0.0000, 0.1875, 0.2500), Tl at (0.0000, 0.1418, 0.7500), Sn at (0.0000, 0.5000, 0.0000), Br at (0.0000, 0.4030, 0.7500), Br at (0.1200, 0.2852, 0.1511) and Br at (0.1663, 0.0835, 0.4214).

For the formation energy from raw total energies, the calculation gives -82.5 kJ per mole of atoms. For the calculated total energy, the calculation gives -3.163 eV per atom.


No. 16
VASP calculation (GGA-PBE) on a relaxed TiSnOF2 crystal.

It has space group P4/mmm (No. 123), with a = 4.4969 Å, b = 4.4969 Å, c = 4.2344 Å, α = 90.00°, β = 90.00° and γ = 90.00°. Symmetry generates all atoms from Ti at (0.0000, 0.0000, 0.0000), Sn at (0.5000, 0.5000, 0.5000), O at (0.5000, 0.5000, 0.0000) and F at (0.0000, 0.5000, 0.5000).

For the formation energy from raw total energies, the calculation gives -91.0 kJ per mole of atoms. For the calculated total energy, the calculation gives -5.063 eV per atom.


No. 17
VASP calculation (GGA-PBE) on a relaxed Hf3TaRh2 crystal.

It has space group P4/mmm (No. 123), with a = 3.2883 Å, b = 3.2883 Å, c = 10.1530 Å, α = 90.00°, β = 90.00° and γ = 90.00°. Symmetry generates all atoms from Hf at (0.0000, 0.0000, 0.0000), Hf at (0.0000, 0.0000, 0.3207), Ta at (0.5000, 0.5000, 0.5000) and Rh at (0.5000, 0.5000, 0.1531).

For the calculated total energy, the calculation gives -10.003 eV per atom. Its calculated formation energy is -0.60 eV per atom.


No. 18
VASP calculation (GGA-PBE) on a relaxed LaTlSnSe3 crystal.

It has space group Cmcm (No. 63), with a = 4.3863 Å, b = 16.7679 Å, c = 11.6755 Å, α = 90.00°, β = 90.00° and γ = 90.00°. Symmetry generates all atoms from La at (0.0000, 0.0000, 0.0000), Tl at (0.0000, 0.3026, 0.2500), Sn at (0.0000, 0.3655, 0.7500), Se at (0.0000, 0.0309, 0.2500) and Se at (0.0000, 0.3777, 0.0075).

For the formation energy from raw total energies, the calculation gives -94.3 kJ per mole of atoms. For the calculated total energy, the calculation gives -4.603 eV per atom.


No. 19
VASP calculation (GGA-PBE) on a relaxed YAgSn crystal.

It has space group Imm2 (No. 44), with a = 4.7802 Å, b = 7.1815 Å, c = 8.3003 Å, α = 90.00°, β = 90.00° and γ = 90.00°. Symmetry generates all atoms from Y at (0.0000, 0.0000, 0.0000), Y at (0.0000, 0.5000, 0.0233), Ag at (0.0000, 0.2813, 0.6792) and Sn at (0.0000, 0.2440, 0.3464).

For the calculated total energy, the calculation gives -4.983 eV per atom. Its calculated formation energy is -0.54 eV per atom.


No. 20
VASP calculation (GGA-PBE) on a relaxed TcSnTeI2 crystal.

It has space group P4/mmm (No. 123), with a = 5.5220 Å, b = 5.5220 Å, c = 5.1627 Å, α = 90.00°, β = 90.00° and γ = 90.00°. Symmetry generates all atoms from Tc at (0.0000, 0.0000, 0.0000), Sn at (0.5000, 0.5000, 0.5000), Te at (0.0000, 0.0000, 0.5000) and I at (0.0000, 0.5000, 0.0000).

For the formation energy from raw total energies, the calculation gives 41.2 kJ per mole of atoms. For the calculated total energy, the calculation gives -3.695 eV per atom.


No. 21
VASP calculation (GGA-PBE) on a relaxed CsSnSe2 crystal.

It has space group P2_1/m (No. 11), with a = 7.5447 Å, b = 4.0643 Å, c = 9.8795 Å, α = 90.00°, β = 107.69° and γ = 90.00°. Symmetry generates all atoms from Cs at (0.1685, 0.2500, 0.3084), Sn at (0.3553, 0.2500, 0.8334), Se at (0.2798, 0.7500, 0.0315) and Se at (0.3261, 0.7500, 0.6368).

For the formation energy from raw total energies, the calculation gives -67.3 kJ per mole of atoms. For the calculated total energy, the calculation gives -3.654 eV per atom.


No. 22
VASP calculation (GGA-PBE) on a relaxed BaMgAl2Os crystal.

It has space group P4/mmm (No. 123), with a = 4.8775 Å, b = 4.8775 Å, c = 5.1512 Å, α = 90.00°, β = 90.00° and γ = 90.00°. Symmetry generates all atoms from Ba at (0.0000, 0.0000, 0.0000), Mg at (0.5000, 0.5000, 0.0000), Al at (0.0000, 0.5000, 0.5000) and Os at (0.5000, 0.5000, 0.5000).

For the calculated total energy, the calculation gives -4.706 eV per atom. Its calculated formation energy is -0.26 eV per atom.


No. 23
VASP calculation (GGA-PBE) on a relaxed LiZrSc2 crystal.

It has space group R-3m (No. 166, hexagonal axes), with a = 3.1903 Å, b = 3.1903 Å, c = 31.9154 Å, α = 90.00°, β = 90.00° and γ = 120.00°. Symmetry generates all atoms from Li at (0.0000, 0.0000, 0.0000), Zr at (0.0000, 0.0000, 0.5000) and Sc at (0.0000, 0.0000, 0.2475).

For the calculated total energy, the calculation gives -5.704 eV per atom. Its calculated formation energy is 0.08 eV per atom.


No. 24
VASP calculation (GGA-PBE) on a relaxed Sm3YHg2C crystal.

It has space group Immm (No. 71), with a = 4.9172 Å, b = 5.0848 Å, c = 15.0949 Å, α = 90.00°, β = 90.00° and γ = 90.00°. Symmetry generates all atoms from Sm at (0.0000, 0.0000, 0.0000), Sm at (0.0000, 0.5000, 0.1675), Y at (0.0000, 0.0000, 0.5000), Hg at (0.0000, 0.5000, 0.3703) and C at (0.0000, 0.5000, 0.0000).

For the calculated total energy, the calculation gives -4.679 eV per atom. Its calculated formation energy is -0.33 eV per atom.